Entry 1:
This record from the Alexandria database describes a relaxed structure of TaGa2Sn. The functional is PBE.

CIF file:
```
data_TaGa2Sn
_symmetry_space_group_name_H-M 'R 3 m'
_symmetry_Int_Tables_number 160
_symmetry_space_group_name_Hall 'R 3 -2"'
_cell_length_a 3.1242
_cell_length_b 3.1242
_cell_length_c 27.9472
_cell_angle_alpha 90.00
_cell_angle_beta 90.00
_cell_angle_gamma 120.00
loop_
_atom_site_label
_atom_site_type_symbol
_atom_site_fract_x
_atom_site_fract_y
_atom_site_fract_z
Ta1 Ta 0.0000 0.0000 0.0000
Ga1 Ga 0.0000 0.0000 0.4102
Ga2 Ga 0.0000 0.0000 0.5899
Sn1 Sn 0.0000 0.0000 0.8343
```

mass density = 9.26 g/cm3
energy of formation = 0.115 eV per atom
magnetic moment = 0.00 μB per cell
VASP energy = -64.3 eV for the cell shown



Entry 2:
This record from the Alexandria database describes a relaxed structure of K4Na5Tl2. The functional is PBE.

CIF file:
```
data_K4Na5Tl2
_symmetry_space_group_name_H-M 'P 1 2/m 1'
_symmetry_Int_Tables_number 10
_cell_length_a 9.310
_cell_length_b 4.312
_cell_length_c 12.310
_cell_angle_alpha 90.00
_cell_angle_beta 93.19
_cell_angle_gamma 90.00
loop_
_symmetry_equiv_pos_as_xyz
'x,y,z'
'-x,-y,-z'
'-x,y,-z'
'x,-y,z'
loop_
_atom_site_label
_atom_site_type_symbol
_atom_site_fract_x
_atom_site_fract_y
_atom_site_fract_z
K1 K 0.154 0.000 0.372
K2 K 0.254 0.000 0.950
Na1 Na 0.203 0.500 0.679
Na2 Na 0.417 0.500 0.204
Na3 Na 0.500 0.500 0.500
Tl1 Tl 0.057 0.500 0.135
```

mass density = 2.29 g/cm3
energy of formation = 0.006 eV per atom
magnetic moment = 0.00 μB per cell
VASP energy = -15.7 eV for the cell shown



Entry 3:
This record from the Alexandria database describes a relaxed structure of ZrScCd2. The functional is PBE.

CIF file:
```
data_ZrScCd2
_symmetry_space_group_name_H-M 'P 1 m 1'
_symmetry_Int_Tables_number 6
_cell_length_a 3.254
_cell_length_b 4.662
_cell_length_c 6.132
_cell_angle_alpha 90.00
_cell_angle_beta 105.22
_cell_angle_gamma 90.00
loop_
_symmetry_equiv_pos_as_xyz
'x,y,z'
'x,-y,z'
loop_
_atom_site_label
_atom_site_type_symbol
_atom_site_fract_x
_atom_site_fract_y
_atom_site_fract_z
Zr1 Zr 0.000 0.000 0.000
Sc1 Sc 0.350 0.500 0.702
Cd1 Cd 0.605 0.500 0.211
Cd2 Cd 0.747 0.000 0.496
```

mass density = 6.68 g/cm3
energy of formation = -0.121 eV per atom
distance to the lowest polymorph of the same formula = 54 meV per atom
magnetic moment = 0.13 μB per cell
VASP energy = -17.2 eV for the cell shown



Entry 4:
This record from the Alexandria database describes a relaxed structure of GaNiHgC. The functional is PBE.

CIF file:
```
data_GaNiHgC
_symmetry_space_group_name_H-M 'P 3 m 1'
_symmetry_Int_Tables_number 156
_cell_length_a 3.1508
_cell_length_b 3.1508
_cell_length_c 6.9024
_cell_angle_alpha 90.00
_cell_angle_beta 90.00
_cell_angle_gamma 120.00
loop_
_symmetry_equiv_pos_as_xyz
'x,y,z'
'-y,x-y,z'
'-x+y,-x,z'
'-y,-x,z'
'-x+y,y,z'
'x,x-y,z'
loop_
_atom_site_label
_atom_site_type_symbol
_atom_site_fract_x
_atom_site_fract_y
_atom_site_fract_z
Ga1 Ga 0.0000 0.0000 0.0000
Ni1 Ni 0.6667 0.3333 0.2913
Hg1 Hg 0.0000 0.0000 0.6090
C1 C 0.3333 0.6667 0.1667
```

mass density = 9.54 g/cm3
energy of formation = 0.513 eV per atom
distance to the lowest polymorph of the same formula = 57 meV per atom
magnetic moment = 0.00 μB per cell
VASP energy = -16.3 eV for the cell shown



Entry 5:
This record from the Alexandria database describes a relaxed structure of HgBiPb2. The functional is PBE.

CIF file:
```
data_HgBiPb2
_symmetry_space_group_name_H-M 'I -4 2 d'
_symmetry_Int_Tables_number 122
_symmetry_space_group_name_Hall 'I -4 2bw'
_cell_length_a 7.187
_cell_length_b 7.187
_cell_length_c 13.055
_cell_angle_alpha 90.00
_cell_angle_beta 90.00
_cell_angle_gamma 90.00
loop_
_atom_site_label
_atom_site_type_symbol
_atom_site_fract_x
_atom_site_fract_y
_atom_site_fract_z
Hg1 Hg 0.000 0.000 0.000
Bi1 Bi 0.000 0.000 0.500
Pb1 Pb 0.238 0.250 0.125
```

mass density = 8.12 g/cm3
energy of formation = 0.188 eV per atom
distance to the lowest polymorph of the same formula = 175 meV per atom
magnetic moment = 0.00 μB per cell
VASP energy = -43.4 eV for the cell shown



Entry 6:
This record from the Alexandria database describes a relaxed structure of La2YAgF. The functional is PBE.

CIF file:
```
data_La2YAgF
_symmetry_space_group_name_H-M 'P 4/m m m'
_symmetry_Int_Tables_number 123
_symmetry_space_group_name_Hall '-P 4 2'
_cell_length_a 6.052
_cell_length_b 6.052
_cell_length_c 5.098
_cell_angle_alpha 90.00
_cell_angle_beta 90.00
_cell_angle_gamma 90.00
loop_
_atom_site_label
_atom_site_type_symbol
_atom_site_fract_x
_atom_site_fract_y
_atom_site_fract_z
La1 La 0.000 0.500 0.000
Y1 Y 0.000 0.000 0.000
Ag1 Ag 0.000 0.000 0.500
F1 F 0.500 0.500 0.500
```

uncorrected formation energy = 0.251 eV per atom
mass density = 4.39 g/cm3
magnetic moment = 0.00 μB per cell
VASP energy = -19.8 eV for the cell shown



Entry 7:
This record from the Alexandria database describes a relaxed structure of PuS4. The functional is PBE.

CIF file:
```
data_PuS4
_symmetry_space_group_name_H-M 'P -1'
_symmetry_Int_Tables_number 2
_cell_length_a 3.877
_cell_length_b 4.019
_cell_length_c 11.962
_cell_angle_alpha 80.36
_cell_angle_beta 89.06
_cell_angle_gamma 61.19
loop_
_symmetry_equiv_pos_as_xyz
'x,y,z'
'-x,-y,-z'
loop_
_atom_site_label
_atom_site_type_symbol
_atom_site_fract_x
_atom_site_fract_y
_atom_site_fract_z
Pu1 Pu 0.000 0.000 0.000
S1 S 0.299 0.415 0.884
S2 S 0.301 0.471 0.545
```

uncorrected formation energy = -0.656 eV per atom
mass density = 3.85 g/cm3
distance to the lowest polymorph of the same formula = 0 meV per atom
magnetic moment = 4.05 μB per cell
VASP energy = -34.1 eV for the cell shown



Entry 8:
This record from the Alexandria database describes a relaxed structure of Li4Cd2Pt5. The functional is PBE.

CIF file:
```
data_Li4Cd2Pt5
_symmetry_space_group_name_H-M 'F m m m'
_symmetry_Int_Tables_number 69
_symmetry_space_group_name_Hall '-F 2 2'
_cell_length_a 5.410
_cell_length_b 8.922
_cell_length_c 16.691
_cell_angle_alpha 90.00
_cell_angle_beta 90.00
_cell_angle_gamma 90.00
loop_
_atom_site_label
_atom_site_type_symbol
_atom_site_fract_x
_atom_site_fract_y
_atom_site_fract_z
Li1 Li 0.000 0.170 0.125
Cd1 Cd 0.000 0.000 0.320
Pt1 Pt 0.000 0.000 0.000
Pt2 Pt 0.250 0.250 0.000
Pt3 Pt 0.250 0.250 0.250
```

mass density = 10.12 g/cm3
energy of formation = -0.275 eV per atom
magnetic moment = 0.02 μB per cell
VASP energy = -170.8 eV for the cell shown



Entry 9:
This record from the Alexandria database describes a relaxed structure of Ga3NiB. The functional is PBE.

CIF file:
```
data_Ga3NiB
_symmetry_space_group_name_H-M 'P m -3 m'
_symmetry_Int_Tables_number 221
_symmetry_space_group_name_Hall '-P 4 2 3'
_cell_length_a 4.495
_cell_length_b 4.495
_cell_length_c 4.495
_cell_angle_alpha 90.00
_cell_angle_beta 90.00
_cell_angle_gamma 90.00
loop_
_atom_site_label
_atom_site_type_symbol
_atom_site_fract_x
_atom_site_fract_y
_atom_site_fract_z
Ga1 Ga 0.000 0.000 0.500
Ni1 Ni 0.000 0.000 0.000
B1 B 0.500 0.500 0.500
```

mass density = 5.09 g/cm3
energy of formation = 0.724 eV per atom
distance to the lowest polymorph of the same formula = 133 meV per atom
magnetic moment = 0.00 μB per cell
VASP energy = -17.9 eV for the cell shown



Entry 10:
This record from the Alexandria database describes a relaxed structure of DyNp3N4. The functional is PBE.

CIF file:
```
data_DyNp3N4
_symmetry_space_group_name_H-M 'I 4/m m m'
_symmetry_Int_Tables_number 139
_symmetry_space_group_name_Hall '-I 4 2'
_cell_length_a 4.889
_cell_length_b 4.889
_cell_length_c 9.766
_cell_angle_alpha 90.00
_cell_angle_beta 90.00
_cell_angle_gamma 90.00
loop_
_atom_site_label
_atom_site_type_symbol
_atom_site_fract_x
_atom_site_fract_y
_atom_site_fract_z
Dy1 Dy 0.000 0.000 0.000
Np1 Np 0.000 0.000 0.500
Np2 Np 0.000 0.500 0.250
N1 N 0.000 0.000 0.254
N2 N 0.000 0.500 0.000
```

uncorrected formation energy = -1.251 eV per atom
mass density = 13.22 g/cm3
magnetic moment = 20.10 μB per cell
VASP energy = -173.5 eV for the cell shown